Density functional theory data (PBE) for a relaxed structure of Tm2PaRh. Values from VASP.

Computed properties:
Energy of formation from the pure elements in eV/f.u.: -0.2

Quantum ESPRESSO input file:
```
&SYSTEM
  ibrav = 0, nat = 4, ntyp = 3
/
ATOMIC_SPECIES
Tm 168.93 Tm.upf
Pa 231.04 Pa.upf
Rh 102.91 Rh.upf
CELL_PARAMETERS angstrom
3.273 0.000 0.000
1.636 2.834 0.000
1.636 0.945 10.496
ATOMIC_POSITIONS angstrom
Tm 4.909 2.834 3.219
Tm 1.636 0.945 7.277
Pa 0.000 0.000 0.000
Rh 3.273 1.890 5.248
```

***

Density functional theory data (PBE) for a relaxed structure of InGa2MoCl. Values from VASP.

Computed properties:
Electronic total energy in eV per atom: -2.80

Quantum ESPRESSO input file:
```
&SYSTEM
  ibrav = 0, nat = 5, ntyp = 4
/
ATOMIC_SPECIES
Ga 69.72 Ga.upf
Mo 95.94 Mo.upf
Cl 35.45 Cl.upf
In 114.82 In.upf
CELL_PARAMETERS angstrom
-4.426 1.669 -4.809
-2.097 -6.217 -0.228
-4.612 1.383 4.725
ATOMIC_POSITIONS angstrom
Ga -2.306 0.691 2.362
Ga -2.213 0.835 -2.405
Mo -5.568 -1.582 -0.156
Cl 0.000 0.000 0.000
In -1.049 -3.108 -0.114
```

***

Density functional theory data (PBE) for a relaxed structure of Cu9Pd4Au11. Values from VASP.

Computed properties:
Energy of formation from the pure elements in eV/f.u.: -1.2

Quantum ESPRESSO input file:
```
&SYSTEM
  ibrav = 0, nat = 24, ntyp = 3
/
ATOMIC_SPECIES
Pd 106.42 Pd.upf
Cu 63.55 Cu.upf
Au 196.97 Au.upf
CELL_PARAMETERS angstrom
-0.914 1.195 -2.436
-8.928 -7.300 -0.229
-4.269 8.900 5.968
ATOMIC_POSITIONS angstrom
Pd -4.668 2.411 1.253
Pd -8.719 2.902 3.014
Pd -5.393 -0.107 0.289
Pd -9.443 0.384 2.050
Cu -11.887 3.616 4.553
Cu -2.225 -0.821 -1.250
Cu -12.794 0.461 3.346
Cu -9.747 -2.028 0.982
Cu -1.317 2.334 -0.043
Cu -4.364 4.823 2.321
Cu -7.662 5.223 3.755
Cu -6.450 -2.428 -0.452
Cu -7.056 1.398 1.651
Au -10.479 1.271 4.556
Au -8.011 -4.111 0.990
Au -5.966 3.001 3.711
Au -2.138 3.164 2.354
Au 0.000 0.000 0.000
Au -2.719 0.330 1.182
Au -5.186 5.712 4.748
Au -3.752 -2.450 0.207
Au -7.232 -1.401 2.027
Au -11.060 -1.563 3.384
Au -9.445 4.050 5.532
```

***

Density functional theory data (PBE) for a relaxed structure of AcScH2. Values from VASP.

Computed properties:
Electronic total energy in eV per atom: -4.51

Quantum ESPRESSO input file:
```
&SYSTEM
  ibrav = 0, nat = 4, ntyp = 3
/
ATOMIC_SPECIES
H 1.01 H.upf
Sc 44.96 Sc.upf
Ac 227.00 Ac.upf
CELL_PARAMETERS angstrom
3.591 0.000 0.000
1.795 3.110 0.000
1.795 1.037 5.841
ATOMIC_POSITIONS angstrom
H 1.795 1.037 0.971
H 5.386 3.110 4.870
Sc 0.000 0.000 0.000
Ac 3.591 2.073 2.921
```

***

Density functional theory data (PBE) for a relaxed structure of AlW2N. Values from VASP.

Computed properties:
Electronic total energy in eV per atom: -8.73

Quantum ESPRESSO input file:
```
&SYSTEM
  ibrav = 0, nat = 8, ntyp = 3
/
ATOMIC_SPECIES
N 14.01 N.upf
W 183.84 W.upf
Al 26.98 Al.upf
CELL_PARAMETERS angstrom
-3.559 -1.394 3.263
-2.621 -2.082 -3.749
-0.425 -6.592 0.590
ATOMIC_POSITIONS angstrom
N -3.090 -1.738 -0.243
N -3.069 -5.207 -1.701
W -2.182 -2.593 1.282
W -5.376 -7.708 0.519
W -2.987 -6.527 -0.241
W -2.666 -3.310 -1.351
Al 0.000 0.000 0.000
Al -3.537 -4.863 1.805
```